No. 1
An optimized crystal structure of Pr2Zn5Ni5, computed with PBE.

Lattice parameters (Å, degrees): 4.071 5.236 8.987 90.00 90.00 90.00
Fractional coordinates of all 12 atoms:
1 Pr 0.000 0.000 0.000
2 Pr 0.000 0.500 0.500
3 Zn 0.500 0.000 0.500
4 Zn 0.500 0.253 0.244
5 Zn 0.500 0.253 0.756
6 Zn 0.500 0.747 0.244
7 Zn 0.500 0.747 0.756
8 Ni 0.000 0.000 0.333
9 Ni 0.000 0.000 0.667
10 Ni 0.000 0.500 0.159
11 Ni 0.000 0.500 0.841
12 Ni 0.500 0.500 0.000

Summary:
Total magnetic moment   0.00 μB per atom
Space-group type   Pmmm, No. 47
Raw total energy   -4.088 eV/atom
ΔE to the lowest computed polymorph   0 meV/atom

No. 2
An optimized crystal structure of CaAc7Sm3, computed with PBE.

Lattice parameters (Å, degrees): 8.359 8.359 7.008 94.56 94.56 83.88
Fractional coordinates of all 11 atoms:
1 Ca 0.000 0.000 0.000
2 Ac 0.000 0.000 0.500
3 Ac 0.081 0.424 0.755
4 Ac 0.269 0.269 0.280
5 Ac 0.424 0.081 0.755
6 Ac 0.576 0.919 0.245
7 Ac 0.731 0.731 0.720
8 Ac 0.919 0.576 0.245
9 Sm 0.338 0.662 0.500
10 Sm 0.500 0.500 0.000
11 Sm 0.662 0.338 0.500

Summary:
Total magnetic moment   0.00 μB per atom
Space-group type   C2/m, No. 12
Raw total energy   -3.840 eV/atom

No. 3
An optimized crystal structure of SrLiDyAu, computed with PBE.

Lattice parameters (Å, degrees): 5.295 5.295 5.295 60.00 60.00 60.00
Fractional coordinates of all 4 atoms:
1 Sr 0.000 0.000 0.000
2 Li 0.250 0.250 0.250
3 Dy 0.500 0.500 0.500
4 Au 0.750 0.750 0.750

Summary:
Total magnetic moment   0.00 μB per atom
Space-group type   F-43m, No. 216
Raw total energy   -3.168 eV/atom

No. 4
An optimized crystal structure of CuNi2Pd9, computed with PBE.

Lattice parameters (Å, degrees): 3.873 3.873 11.611 90.00 90.00 90.00
Fractional coordinates of all 12 atoms:
1 Cu 0.000 0.000 0.000
2 Ni 0.000 0.000 0.335
3 Ni 0.000 0.000 0.665
4 Pd 0.000 0.500 0.168
5 Pd 0.000 0.500 0.500
6 Pd 0.000 0.500 0.832
7 Pd 0.500 0.000 0.168
8 Pd 0.500 0.000 0.500
9 Pd 0.500 0.000 0.832
10 Pd 0.500 0.500 0.000
11 Pd 0.500 0.500 0.334
12 Pd 0.500 0.500 0.666

Summary:
Total magnetic moment   0.25 μB per atom
Space-group type   P4/mmm, No. 123
Raw total energy   -5.197 eV/atom

No. 5
An optimized crystal structure of Mn2Ga2Br7, computed with PBE.

Lattice parameters (Å, degrees): 7.713 7.713 6.834 95.79 95.79 104.25
Fractional coordinates of all 11 atoms:
1 Mn 0.246 0.246 0.409
2 Mn 0.754 0.754 0.591
3 Ga 0.311 0.689 0.000
4 Ga 0.689 0.311 0.000
5 Br 0.000 0.000 0.500
6 Br 0.082 0.425 0.222
7 Br 0.396 0.396 0.744
8 Br 0.425 0.082 0.222
9 Br 0.575 0.918 0.778
10 Br 0.604 0.604 0.256
11 Br 0.918 0.575 0.778

Summary:
Total magnetic moment   0.82 μB per atom
Space-group type   C2/m, No. 12
Raw total energy   -3.889 eV/atom

No. 6
An optimized crystal structure of TlCdInCl4, computed with PBE.

Lattice parameters (Å, degrees): 7.578 7.511 8.763 90.00 108.52 90.00
Fractional coordinates of all 14 atoms:
1 Tl 0.205 0.250 0.053
2 Tl 0.795 0.750 0.947
3 Cd 0.252 0.750 0.800
4 Cd 0.748 0.250 0.200
5 In 0.254 0.250 0.563
6 In 0.746 0.750 0.437
7 Cl 0.021 0.002 0.739
8 Cl 0.021 0.498 0.739
9 Cl 0.449 0.750 0.623
10 Cl 0.451 0.750 0.088
11 Cl 0.549 0.250 0.912
12 Cl 0.551 0.250 0.377
13 Cl 0.979 0.502 0.261
14 Cl 0.979 0.998 0.261

Summary:
Total magnetic moment   0.00 μB per atom
Space-group type   P2_1/m, No. 11
Raw total energy   -2.888 eV/atom

No. 7
An optimized crystal structure of ZnSnBi3, computed with PBE.

Lattice parameters (Å, degrees): 5.428 5.428 5.428 90.00 90.00 90.00
Fractional coordinates of all 5 atoms:
1 Zn 0.000 0.000 0.000
2 Sn 0.500 0.500 0.500
3 Bi 0.000 0.000 0.500
4 Bi 0.000 0.500 0.000
5 Bi 0.500 0.000 0.000

Summary:
Total magnetic moment   0.00 μB per atom
Space-group type   Pm-3m, No. 221
Raw total energy   -2.953 eV/atom
ΔE to the lowest computed polymorph   0 meV/atom

No. 8
An optimized crystal structure of CaHg2Br, computed with PBE.

Lattice parameters (Å, degrees): 7.119 7.119 7.119 99.92 99.92 130.94
Fractional coordinates of all 8 atoms:
1 Ca 0.000 0.000 0.000
2 Ca 0.750 0.250 0.500
3 Hg 0.106 0.625 0.981
4 Hg 0.375 0.356 0.481
5 Hg 0.644 0.125 0.019
6 Hg 0.875 0.894 0.519
7 Br 0.250 0.750 0.500
8 Br 0.500 0.500 0.000

Summary:
Total magnetic moment   0.00 μB per atom
Space-group type   I-42d, No. 122
Raw total energy   -1.735 eV/atom
ΔE to the lowest computed polymorph   80 meV/atom

Please write out number 4 again, unchanged.
An optimized crystal structure of CuNi2Pd9, computed with PBE.

Lattice parameters (Å, degrees): 3.873 3.873 11.611 90.00 90.00 90.00
Fractional coordinates of all 12 atoms:
1 Cu 0.000 0.000 0.000
2 Ni 0.000 0.000 0.335
3 Ni 0.000 0.000 0.665
4 Pd 0.000 0.500 0.168
5 Pd 0.000 0.500 0.500
6 Pd 0.000 0.500 0.832
7 Pd 0.500 0.000 0.168
8 Pd 0.500 0.000 0.500
9 Pd 0.500 0.000 0.832
10 Pd 0.500 0.500 0.000
11 Pd 0.500 0.500 0.334
12 Pd 0.500 0.500 0.666

Summary:
Total magnetic moment   0.25 μB per atom
Space-group type   P4/mmm, No. 123
Raw total energy   -5.197 eV/atom